[1]
The following is a DFT calculation (PBE) of a geometry-optimized LiLuHgO3 structure.

a b c (Å): 7.3184 7.3184 6.2672
angles (deg): 90.00 90.00 154.81
Sites, in units of the cell vectors:
Li  0.1446  0.8554  0.7500
Li  0.8554  0.1446  0.2500
Lu  0.5000  0.5000  0.0000
Lu  0.5000  0.5000  0.5000
Hg  0.2017  0.7983  0.2500
Hg  0.7983  0.2017  0.7500
O  0.0035  0.9965  0.7500
O  0.3489  0.6511  0.0209
O  0.3489  0.6511  0.4791
O  0.6511  0.3489  0.5209
O  0.6511  0.3489  0.9791
O  0.9965  0.0035  0.2500

**V**: 142.9 Å³/cell
**Space group**: Cmcm, No. 63
**E_tot**: -66.22 eV per cell

***

[2]
The following is a DFT calculation (PBE) of a geometry-optimized LiLuHgS3 structure.

a b c (Å): 12.3772 3.8300 11.0804
angles (deg): 90.00 90.00 90.00
Sites, in units of the cell vectors:
Li  0.1169  0.2500  0.0259
Li  0.3831  0.7500  0.5259
Li  0.6169  0.2500  0.4741
Li  0.8831  0.7500  0.9741
Lu  0.0577  0.2500  0.6726
Lu  0.4423  0.7500  0.1726
Lu  0.5577  0.2500  0.8274
Lu  0.9423  0.7500  0.3274
Hg  0.2327  0.2500  0.2982
Hg  0.2673  0.7500  0.7982
Hg  0.7327  0.2500  0.2018
Hg  0.7673  0.7500  0.7018
S  0.0643  0.7500  0.8520
S  0.0686  0.2500  0.4196
S  0.2343  0.7500  0.1324
S  0.2657  0.2500  0.6324
S  0.4314  0.7500  0.9196
S  0.4357  0.2500  0.3520
S  0.5643  0.7500  0.6480
S  0.5686  0.2500  0.0804
S  0.7343  0.7500  0.3676
S  0.7657  0.2500  0.8676
S  0.9314  0.7500  0.5804
S  0.9357  0.2500  0.1480

**V**: 525.3 Å³/cell
**Space group**: Pnma, No. 62
**E_tot**: -103.65 eV per cell
**Excess energy over the best structure of this formula in the dataset**: 21 meV per atom

***

[3]
The following is a DFT calculation (PBE) of a geometry-optimized LiLuHgS3 structure.

a b c (Å): 7.4108 7.4108 10.2776
angles (deg): 90.00 90.00 148.64
Sites, in units of the cell vectors:
Li  0.1341  0.8659  0.7500
Li  0.8659  0.1341  0.2500
Lu  0.5000  0.5000  0.0000
Lu  0.5000  0.5000  0.5000
Hg  0.1305  0.8695  0.2500
Hg  0.8695  0.1305  0.7500
S  0.1294  0.8706  0.0197
S  0.1294  0.8706  0.4803
S  0.4551  0.5449  0.2500
S  0.5449  0.4551  0.7500
S  0.8706  0.1294  0.5197
S  0.8706  0.1294  0.9803

**V**: 293.7 Å³/cell
**Space group**: Cmcm, No. 63
**E_tot**: -52.08 eV per cell
**Excess energy over the best structure of this formula in the dataset**: 0 meV per atom

***

[4]
The following is a DFT calculation (PBE) of a geometry-optimized LiMgHg2 structure.

a b c (Å): 6.8374 6.8374 6.8374
angles (deg): 90.00 90.00 90.00
Sites, in units of the cell vectors:
Li  0.0000  0.0000  0.0000
Li  0.0000  0.5000  0.5000
Li  0.5000  0.0000  0.5000
Li  0.5000  0.5000  0.0000
Mg  0.2500  0.2500  0.2500
Mg  0.2500  0.7500  0.7500
Mg  0.7500  0.2500  0.7500
Mg  0.7500  0.7500  0.2500
Hg  0.0000  0.0000  0.5000
Hg  0.0000  0.5000  0.0000
Hg  0.2500  0.2500  0.7500
Hg  0.2500  0.7500  0.2500
Hg  0.5000  0.0000  0.0000
Hg  0.5000  0.5000  0.5000
Hg  0.7500  0.2500  0.2500
Hg  0.7500  0.7500  0.7500

**V**: 319.6 Å³/cell
**Space group**: F-43m, No. 216
**E_tot**: -19.68 eV per cell

***

[5]
The following is a DFT calculation (PBE) of a geometry-optimized Li8Mg2Hg structure.

a b c (Å): 4.6169 4.6169 10.7875
angles (deg): 102.30 102.30 60.08
Sites, in units of the cell vectors:
Li  0.0864  0.0864  0.2590
Li  0.1780  0.1780  0.5345
Li  0.2727  0.2727  0.8188
Li  0.3598  0.3598  0.0792
Li  0.6402  0.6402  0.9208
Li  0.7273  0.7273  0.1812
Li  0.8220  0.8220  0.4655
Li  0.9136  0.9136  0.7410
Mg  0.4526  0.4526  0.3573
Mg  0.5474  0.5474  0.6427
Hg  0.0000  0.0000  0.0000

**V**: 193.2 Å³/cell
**Space group**: C2/m, No. 12
**E_tot**: -19.82 eV per cell

***

[6]
The following is a DFT calculation (PBE) of a geometry-optimized Li6MgHg structure.

a b c (Å): 4.6062 4.6062 6.5415
angles (deg): 90.00 90.00 90.00
Sites, in units of the cell vectors:
Li  0.0000  0.0000  0.0000
Li  0.0000  0.5000  0.2360
Li  0.0000  0.5000  0.7640
Li  0.5000  0.0000  0.2360
Li  0.5000  0.0000  0.7640
Li  0.5000  0.5000  0.5000
Mg  0.0000  0.0000  0.5000
Hg  0.5000  0.5000  0.0000

**V**: 138.8 Å³/cell
**Space group**: P4/mmm, No. 123
**E_tot**: -14.41 eV per cell

***

[7]
The following is a DFT calculation (PBE) of a geometry-optimized Li2MgHg3 structure.

a b c (Å): 3.3586 3.3586 10.1948
angles (deg): 90.00 90.00 90.00
Sites, in units of the cell vectors:
Li  0.0000  0.0000  0.1601
Li  0.0000  0.0000  0.8399
Mg  0.0000  0.0000  0.5000
Hg  0.5000  0.5000  0.0000
Hg  0.5000  0.5000  0.3177
Hg  0.5000  0.5000  0.6823

**V**: 115.0 Å³/cell
**Space group**: P4/mmm, No. 123
**E_tot**: -8.25 eV per cell

***

[8]
The following is a DFT calculation (PBE) of a geometry-optimized LiMgHg2 structure.

a b c (Å): 4.7557 4.7557 8.6374
angles (deg): 90.00 90.00 120.00
Sites, in units of the cell vectors:
Li  0.0000  0.0000  0.0000
Li  0.0000  0.0000  0.5000
Mg  0.3333  0.6667  0.2500
Mg  0.6667  0.3333  0.7500
Hg  0.3333  0.6667  0.5836
Hg  0.3333  0.6667  0.9164
Hg  0.6667  0.3333  0.0836
Hg  0.6667  0.3333  0.4164

**V**: 169.2 Å³/cell
**Space group**: P6_3/mmc, No. 194
**E_tot**: -10.10 eV per cell

***

[9]
The following is a DFT calculation (PBE) of a geometry-optimized LiMgHg2 structure.

a b c (Å): 6.8215 6.8284 6.8574
angles (deg): 90.00 90.00 90.00
Sites, in units of the cell vectors:
Li  0.0000  0.2500  0.0011
Li  0.0000  0.7500  0.9989
Li  0.5000  0.2500  0.4989
Li  0.5000  0.7500  0.5011
Mg  0.0000  0.2500  0.4985
Mg  0.0000  0.7500  0.5015
Mg  0.5000  0.2500  0.0015
Mg  0.5000  0.7500  0.9985
Hg  0.2500  0.0013  0.7500
Hg  0.2500  0.4987  0.7500
Hg  0.2500  0.5013  0.2500
Hg  0.2500  0.9987  0.2500
Hg  0.7500  0.0013  0.7500
Hg  0.7500  0.4987  0.7500
Hg  0.7500  0.5013  0.2500
Hg  0.7500  0.9987  0.2500

**V**: 319.4 Å³/cell
**Space group**: Imma, No. 74
**E_tot**: -21.12 eV per cell

***

[10]
The following is a DFT calculation (PBE) of a geometry-optimized Li4MgHg5 structure.

a b c (Å): 3.3554 3.3554 16.6935
angles (deg): 90.00 90.00 90.00
Sites, in units of the cell vectors:
Li  0.0000  0.0000  0.0970
Li  0.0000  0.0000  0.2923
Li  0.0000  0.0000  0.7077
Li  0.0000  0.0000  0.9030
Mg  0.0000  0.0000  0.5000
Hg  0.5000  0.5000  0.0000
Hg  0.5000  0.5000  0.1945
Hg  0.5000  0.5000  0.3886
Hg  0.5000  0.5000  0.6114
Hg  0.5000  0.5000  0.8055

**V**: 187.9 Å³/cell
**Space group**: P4/mmm, No. 123
**E_tot**: -14.15 eV per cell

***

[11]
The following is a DFT calculation (PBE) of a geometry-optimized LiMg6Hg structure.

a b c (Å): 6.3009 6.3009 4.9912
angles (deg): 90.00 90.00 120.00
Sites, in units of the cell vectors:
Li  0.0000  0.0000  0.0000
Mg  0.0000  0.5000  0.0000
Mg  0.1632  0.3265  0.5000
Mg  0.1632  0.8368  0.5000
Mg  0.5000  0.0000  0.0000
Mg  0.5000  0.5000  0.0000
Mg  0.6735  0.8368  0.5000
Hg  0.6667  0.3333  0.5000

**V**: 171.6 Å³/cell
**Space group**: P-6m2, No. 187
**E_tot**: -12.14 eV per cell

***

[12]
The following is a DFT calculation (PBE) of a geometry-optimized LiMgHg2 structure.

a b c (Å): 4.8398 4.8398 8.4696
angles (deg): 90.00 90.00 120.00
Sites, in units of the cell vectors:
Li  0.0000  0.0000  0.2500
Li  0.0000  0.0000  0.7500
Mg  0.3333  0.6667  0.2500
Mg  0.6667  0.3333  0.7500
Hg  0.3333  0.6667  0.5798
Hg  0.3333  0.6667  0.9202
Hg  0.6667  0.3333  0.0798
Hg  0.6667  0.3333  0.4202

**V**: 171.8 Å³/cell
**Space group**: P6_3/mmc, No. 194
**E_tot**: -9.16 eV per cell

***

[13]
The following is a DFT calculation (PBE) of a geometry-optimized LiMgHg2 structure.

a b c (Å): 4.7997 4.7997 8.7389
angles (deg): 90.00 90.00 120.00
Sites, in units of the cell vectors:
Li  0.3333  0.6667  0.2500
Li  0.6667  0.3333  0.7500
Mg  0.0000  0.0000  0.0000
Mg  0.0000  0.0000  0.5000
Hg  0.3333  0.6667  0.5858
Hg  0.3333  0.6667  0.9142
Hg  0.6667  0.3333  0.0858
Hg  0.6667  0.3333  0.4142

**V**: 174.3 Å³/cell
**Space group**: P6_3/mmc, No. 194
**E_tot**: -9.97 eV per cell

***

[14]
The following is a DFT calculation (PBE) of a geometry-optimized LiMgHg2 structure.

a b c (Å): 3.4111 3.4111 6.7995
angles (deg): 90.00 90.00 90.00
Sites, in units of the cell vectors:
Li  0.0000  0.0000  0.0000
Mg  0.0000  0.0000  0.5000
Hg  0.5000  0.5000  0.2334
Hg  0.5000  0.5000  0.7666

**V**: 79.1 Å³/cell
**Space group**: P4/mmm, No. 123
**E_tot**: -5.29 eV per cell

***

[15]
The following is a DFT calculation (PBE) of a geometry-optimized Li4Mg2HgPb structure.

a b c (Å): 4.7365 4.7365 6.8002
angles (deg): 90.00 90.00 90.00
Sites, in units of the cell vectors:
Li  0.0000  0.0000  0.0000
Li  0.0000  0.5000  0.2449
Li  0.5000  0.0000  0.7551
Li  0.5000  0.5000  0.5000
Mg  0.0000  0.5000  0.7630
Mg  0.5000  0.0000  0.2370
Hg  0.5000  0.5000  0.0000
Pb  0.0000  0.0000  0.5000

**V**: 152.6 Å³/cell
**Space group**: P-4m2, No. 115
**E_tot**: -16.97 eV per cell

***

[16]
The following is a DFT calculation (PBE) of a geometry-optimized LiPrMgHg structure.

a b c (Å): 7.2251 7.2251 7.2251
angles (deg): 90.00 90.00 90.00
Sites, in units of the cell vectors:
Li  0.0000  0.0000  0.0000
Li  0.0000  0.5000  0.5000
Li  0.5000  0.0000  0.5000
Li  0.5000  0.5000  0.0000
Pr  0.2500  0.2500  0.2500
Pr  0.2500  0.7500  0.7500
Pr  0.7500  0.2500  0.7500
Pr  0.7500  0.7500  0.2500
Mg  0.2500  0.2500  0.7500
Mg  0.2500  0.7500  0.2500
Mg  0.7500  0.2500  0.2500
Mg  0.7500  0.7500  0.7500
Hg  0.0000  0.0000  0.5000
Hg  0.0000  0.5000  0.0000
Hg  0.5000  0.0000  0.0000
Hg  0.5000  0.5000  0.5000

**V**: 377.2 Å³/cell
**Space group**: F-43m, No. 216
**E_tot**: -39.43 eV per cell

***

[17]
The following is a DFT calculation (PBE) of a geometry-optimized Li4Mg2SiHg structure.

a b c (Å): 4.4282 4.4282 6.8741
angles (deg): 90.00 90.00 90.00
Sites, in units of the cell vectors:
Li  0.0000  0.0000  0.0000
Li  0.0000  0.5000  0.2339
Li  0.5000  0.0000  0.7661
Li  0.5000  0.5000  0.5000
Mg  0.0000  0.5000  0.7620
Mg  0.5000  0.0000  0.2380
Si  0.5000  0.5000  0.0000
Hg  0.0000  0.0000  0.5000

**V**: 134.8 Å³/cell
**Space group**: P-4m2, No. 115
**E_tot**: -18.49 eV per cell

***

[18]
The following is a DFT calculation (PBE) of a geometry-optimized Li4MgSn2Hg structure.

a b c (Å): 4.7907 4.7907 6.7074
angles (deg): 90.00 90.00 90.00
Sites, in units of the cell vectors:
Li  0.0000  0.0000  0.0000
Li  0.0000  0.5000  0.2314
Li  0.5000  0.0000  0.7686
Li  0.5000  0.5000  0.5000
Mg  0.0000  0.0000  0.5000
Sn  0.0000  0.5000  0.7400
Sn  0.5000  0.0000  0.2600
Hg  0.5000  0.5000  0.0000

**V**: 153.9 Å³/cell
**Space group**: P-4m2, No. 115
**E_tot**: -20.14 eV per cell

***

[19]
The following is a DFT calculation (PBE) of a geometry-optimized LiTbMgHg structure.

a b c (Å): 7.0423 7.0423 7.0423
angles (deg): 90.00 90.00 90.00
Sites, in units of the cell vectors:
Li  0.0000  0.0000  0.0000
Li  0.0000  0.5000  0.5000
Li  0.5000  0.0000  0.5000
Li  0.5000  0.5000  0.0000
Tb  0.2500  0.2500  0.2500
Tb  0.2500  0.7500  0.7500
Tb  0.7500  0.2500  0.7500
Tb  0.7500  0.7500  0.2500
Mg  0.2500  0.2500  0.7500
Mg  0.2500  0.7500  0.2500
Mg  0.7500  0.2500  0.2500
Mg  0.7500  0.7500  0.7500
Hg  0.0000  0.0000  0.5000
Hg  0.0000  0.5000  0.0000
Hg  0.5000  0.0000  0.0000
Hg  0.5000  0.5000  0.5000

**V**: 349.3 Å³/cell
**Space group**: F-43m, No. 216
**E_tot**: -38.77 eV per cell

***

[20]
The following is a DFT calculation (PBE) of a geometry-optimized Li4Mg2TlHg structure.

a b c (Å): 4.7420 4.7420 6.6897
angles (deg): 90.00 90.00 90.00
Sites, in units of the cell vectors:
Li  0.0000  0.0000  0.0000
Li  0.0000  0.5000  0.2461
Li  0.5000  0.0000  0.7539
Li  0.5000  0.5000  0.5000
Mg  0.0000  0.5000  0.7595
Mg  0.5000  0.0000  0.2405
Tl  0.0000  0.0000  0.5000
Hg  0.5000  0.5000  0.0000

**V**: 150.4 Å³/cell
**Space group**: P-4m2, No. 115
**E_tot**: -15.35 eV per cell

***

[21]
The following is a DFT calculation (PBE) of a geometry-optimized LiHgMo structure.

a b c (Å): 6.2391 6.2391 6.2391
angles (deg): 90.00 90.00 90.00
Sites, in units of the cell vectors:
Li  0.0000  0.0000  0.0000
Li  0.0000  0.5000  0.5000
Li  0.5000  0.0000  0.5000
Li  0.5000  0.5000  0.0000
Hg  0.2500  0.2500  0.2500
Hg  0.2500  0.7500  0.7500
Hg  0.7500  0.2500  0.7500
Hg  0.7500  0.7500  0.2500
Mo  0.0000  0.0000  0.5000
Mo  0.0000  0.5000  0.0000
Mo  0.5000  0.0000  0.0000
Mo  0.5000  0.5000  0.5000

**V**: 242.9 Å³/cell
**Space group**: F-43m, No. 216
**E_tot**: -40.26 eV per cell
**Excess energy over the best structure of this formula in the dataset**: 0 meV per atom

***

[22]
The following is a DFT calculation (PBE) of a geometry-optimized Li2HgMo structure.

a b c (Å): 6.4311 6.4311 6.4311
angles (deg): 90.00 90.00 90.00
Sites, in units of the cell vectors:
Li  0.0000  0.0000  0.0000
Li  0.0000  0.5000  0.5000
Li  0.2500  0.2500  0.2500
Li  0.2500  0.7500  0.7500
Li  0.5000  0.0000  0.5000
Li  0.5000  0.5000  0.0000
Li  0.7500  0.2500  0.7500
Li  0.7500  0.7500  0.2500
Hg  0.2500  0.2500  0.7500
Hg  0.2500  0.7500  0.2500
Hg  0.7500  0.2500  0.2500
Hg  0.7500  0.7500  0.7500
Mo  0.0000  0.0000  0.5000
Mo  0.0000  0.5000  0.0000
Mo  0.5000  0.0000  0.0000
Mo  0.5000  0.5000  0.5000

**V**: 266.0 Å³/cell
**Space group**: F-43m, No. 216
**E_tot**: -52.59 eV per cell

***

[23]
The following is a DFT calculation (PBE) of a geometry-optimized Li3HgN structure.

a b c (Å): 4.0578 4.0578 4.0578
angles (deg): 90.00 90.00 90.00
Sites, in units of the cell vectors:
Li  0.0000  0.0000  0.5000
Li  0.0000  0.5000  0.0000
Li  0.5000  0.0000  0.0000
Hg  0.5000  0.5000  0.5000
N  0.0000  0.0000  0.0000

**V**: 66.8 Å³/cell
**Space group**: Pm-3m, No. 221
**E_tot**: -15.86 eV per cell

***

[24]
The following is a DFT calculation (PBE) of a geometry-optimized LiHgNO structure.

a b c (Å): 3.7514 6.2631 4.2432
angles (deg): 90.00 90.00 90.00
Sites, in units of the cell vectors:
Li  0.0000  0.2330  0.0000
Li  0.0000  0.7670  0.5000
Hg  0.5000  0.2474  0.4934
Hg  0.5000  0.7526  0.9934
N  0.0000  0.4465  0.4709
N  0.0000  0.5535  0.9709
O  0.5000  0.1377  0.9910
O  0.5000  0.8623  0.4910

**V**: 99.7 Å³/cell
**Space group**: Pmc2_1, No. 26
**E_tot**: -28.72 eV per cell
**Excess energy over the best structure of this formula in the dataset**: 98 meV per atom